# CsHgCl2 PBE relaxed
data_CsHgCl2
_chemical_formula_sum 'Cs4 Hg4 Cl8'
_space_group_name_H-M_alt 'C 1 m 1'
_space_group_IT_number 8
_cell_length_a 9.194
_cell_length_b 11.263
_cell_length_c 7.276
_cell_angle_alpha 90.00
_cell_angle_beta 129.14
_cell_angle_gamma 90.00
loop_
_space_group_symop_operation_xyz
'x,y,z'
'x,-y,z'
'x+1/2,y+1/2,z'
'x+1/2,-y+1/2,z'
loop_
_atom_site_label
_atom_site_fract_x
_atom_site_fract_y
_atom_site_fract_z
Cs1 0.000 0.250 0.000
Hg1 0.051 0.000 0.499
Hg2 0.365 0.000 0.498
Cl1 0.002 0.233 0.500
Cl2 0.233 0.000 0.964
Cl3 0.269 0.500 0.035
# raw formation energy	-1.220	eV per atom
# polymorph energy (0 for the lowest one)	0	meV/atom

# Sr2ZnAgAu6 PBE relaxed
data_Sr2ZnAgAu6
_chemical_formula_sum 'Sr2 Zn1 Ag1 Au6'
_space_group_name_H-M_alt 'P -1'
_space_group_IT_number 2
_cell_length_a 5.525
_cell_length_b 7.050
_cell_length_c 7.315
_cell_angle_alpha 82.91
_cell_angle_beta 67.93
_cell_angle_gamma 67.07
loop_
_space_group_symop_operation_xyz
'x,y,z'
'-x,-y,-z'
loop_
_atom_site_label
_atom_site_fract_x
_atom_site_fract_y
_atom_site_fract_z
Sr1 0.041 0.219 0.198
Zn1 0.500 0.000 0.500
Ag1 0.500 0.500 0.000
Au1 0.011 0.237 0.741
Au2 0.351 0.397 0.400
Au3 0.487 0.764 0.259
# energy of formation from the pure elements	-0.434	eV/atom

# BeRhAu2 PBE relaxed
data_BeRhAu2
_chemical_formula_sum 'Be2 Rh2 Au4'
_space_group_name_H-M_alt 'I -4 m 2'
_space_group_IT_number 119
_space_group_name_Hall 'I -4 -2'
_cell_length_a 4.034
_cell_length_b 4.034
_cell_length_c 7.425
_cell_angle_alpha 90.00
_cell_angle_beta 90.00
_cell_angle_gamma 90.00
loop_
_atom_site_label
_atom_site_fract_x
_atom_site_fract_y
_atom_site_fract_z
Be1 0.000 0.000 0.000
Rh1 0.000 0.500 0.750
Au1 0.000 0.000 0.500
Au2 0.000 0.500 0.250
# energy of formation from the pure elements	0.067	eV/atom

# Zr6Be15Ni8 PBE relaxed
data_Zr6Be15Ni8
_chemical_formula_sum 'Zr24 Be60 Ni32'
_space_group_name_H-M_alt 'F m -3 m'
_space_group_IT_number 225
_space_group_name_Hall '-F 4 2 3'
_cell_length_a 11.058
_cell_length_b 11.058
_cell_length_c 11.058
_cell_angle_alpha 90.00
_cell_angle_beta 90.00
_cell_angle_gamma 90.00
loop_
_atom_site_label
_atom_site_fract_x
_atom_site_fract_y
_atom_site_fract_z
Zr1 0.000 0.000 0.210
Be1 0.000 0.000 0.500
Be2 0.000 0.250 0.250
Be3 0.178 0.178 0.178
Ni1 0.124 0.124 0.376
# energy of formation from the pure elements	-0.389	eV/atom

# PuTaCo4 PBE relaxed
data_PuTaCo4
_chemical_formula_sum 'Pu4 Ta4 Co16'
_space_group_name_H-M_alt 'F -4 3 m'
_space_group_IT_number 216
_space_group_name_Hall 'F -4 2 3'
_cell_length_a 6.886
_cell_length_b 6.886
_cell_length_c 6.886
_cell_angle_alpha 90.00
_cell_angle_beta 90.00
_cell_angle_gamma 90.00
loop_
_atom_site_label
_atom_site_fract_x
_atom_site_fract_y
_atom_site_fract_z
Pu1 0.000 0.000 0.000
Ta1 0.250 0.250 0.750
Co1 0.125 0.125 0.375
# energy of formation from the pure elements	-0.073	eV/atom